Computed, not measured: crystalline TaNiOsPb at its relaxed geometry at the GGA-PBE level of DFT.

SG: F-43m, No. 216
Uncorrected energy in eV per atom: -7.532

The structure in CIF format:
```
data_TaNiOsPb
_chemical_formula_sum 'Ta1 Ni1 Os1 Pb1'
_space_group_name_H-M_alt 'P 1'
_space_group_IT_number 1
_cell_length_a 4.5538
_cell_length_b 4.5538
_cell_length_c 4.5538
_cell_angle_alpha 60.00
_cell_angle_beta 60.00
_cell_angle_gamma 60.00
loop_
_space_group_symop_operation_xyz
'x,y,z'
loop_
_atom_site_label
_atom_site_type_symbol
_atom_site_fract_x
_atom_site_fract_y
_atom_site_fract_z
Ni1 Ni 0.7500 0.7500 0.7500
Ta1 Ta 0.2500 0.2500 0.2500
Pb1 Pb 0.0000 0.0000 0.0000
Os1 Os 0.5000 0.5000 0.5000
```